First-principles (PBE) data for a relaxed NbAgAs2O8 crystal, as listed in Alexandria via LeMat-Bulk.

Lattice parameters (Å, degrees): 5.5121 5.5121 6.8418 90.00 90.00 120.00
Fractional positions:
Nb  0.0000  0.0000  0.0000
Ag  0.0000  0.0000  0.5000
As  0.3333  0.6667  0.7247
As  0.6667  0.3333  0.2753
O  0.1670  0.3340  0.8265
O  0.1670  0.8330  0.8265
O  0.6660  0.8330  0.8265
O  0.3340  0.1670  0.1735
O  0.6667  0.3333  0.5178
O  0.3333  0.6667  0.4822
O  0.8330  0.6660  0.1735
O  0.8330  0.1670  0.1735

Computed properties:
**Electronic total energy**: -6.51 eV/atom
**Density**: 4.41 g/cm3